Computed, not measured: crystalline CoPbI4 at its relaxed geometry at the GGA-PBE level of DFT.

Calculated values
SG   C222_1 (20)
Formation energy (no corrections)   -265 meV/atom

abc: 6.773 6.773 11.856
angles: 90.00 90.00 88.77
Last column: magnetic moment on the atom in μB.
Sites, in units of the cell vectors:
Co  0.663  0.663  0.000  2.26
Co  0.337  0.337  0.500  2.26
Pb  0.781  0.219  0.750  0.01
Pb  0.219  0.781  0.250  0.01
I  0.203  0.241  0.301  0.08
I  0.797  0.759  0.801  0.08
I  0.241  0.203  0.699  0.08
I  0.704  0.249  0.485  0.11
I  0.759  0.797  0.199  0.08
I  0.751  0.296  0.015  0.11
I  0.249  0.704  0.515  0.11
I  0.296  0.751  0.985  0.11

***

Computed, not measured: crystalline PmDy2Tm2Mg2 at its relaxed geometry at the GGA-PBE level of DFT.

Calculated values
SG   R-3m (166)
Density of states at the Fermi level   1.133 states/eV per atom
ΔH_f (0 K)   -0.032 eV/atom

abc: 5.437 5.437 8.579
angles: 71.52 71.52 60.00
Sites, in units of the cell vectors:
Pm  0.000  0.000  0.000
Dy  0.572  0.572  0.284
Dy  0.428  0.428  0.716
Tm  0.155  0.155  0.534
Tm  0.845  0.845  0.466
Mg  0.711  0.711  0.866
Mg  0.289  0.289  0.134

***

Computed, not measured: crystalline AcNdSm2Tl4 at its relaxed geometry at the GGA-PBE level of DFT.

Calculated values
SG   R-3m (166)
Density of states at the Fermi level   0.966 states/eV per atom
ΔH_f (0 K)   -0.354 eV/atom

abc: 5.585 5.585 9.682
angles: 73.24 73.24 60.00
Sites, in units of the cell vectors:
Ac  0.000  0.000  0.000
Nd  0.500  0.500  0.500
Sm  0.751  0.751  0.748
Sm  0.249  0.249  0.252
Tl  0.378  0.378  0.866
Tl  0.873  0.873  0.382
Tl  0.127  0.127  0.618
Tl  0.622  0.622  0.134